# 1
A plane-wave DFT calculation with GGA-PBE was carried out for Ho2Pa3S8 after structural relaxation.

Unit cell a=8.025 b=8.025 c=6.486 alpha=105.80 beta=105.80 gamma=58.50
Atoms (fractional coordinates):
Ho: 0.241 0.241 0.165
Ho: 0.759 0.759 0.835
Pa: 0.254 0.746 0.500
Pa: 0.500 0.500 0.000
Pa: 0.746 0.254 0.500
S: 0.108 0.108 0.397
S: 0.134 0.609 0.081
S: 0.373 0.373 0.574
S: 0.391 0.866 0.919
S: 0.609 0.134 0.081
S: 0.627 0.627 0.426
S: 0.866 0.391 0.919
S: 0.892 0.892 0.603

Values from the calculation:
The total magnetic moment comes out at 4.46 μB per formula unit. Its space-group type is C2/m, No. 12. The volume comes out at 338 Å³ per cell. The calculation puts the total energy at -0.26107 Ha/atom.



# 2
A plane-wave DFT calculation with GGA-PBE was carried out for Ho3Pa5S12 after structural relaxation.

Unit cell a=13.897 b=13.897 c=13.897 alpha=109.47 beta=109.47 gamma=109.47
Atoms (fractional coordinates):
Ho: 0.125 0.250 0.375
Ho: 0.125 0.375 0.750
Ho: 0.250 0.375 0.125
Ho: 0.250 0.875 0.625
Ho: 0.375 0.125 0.250
Ho: 0.375 0.750 0.125
Ho: 0.625 0.250 0.875
Ho: 0.625 0.875 0.750
Ho: 0.750 0.125 0.375
Ho: 0.750 0.625 0.875
Ho: 0.875 0.625 0.250
Ho: 0.875 0.750 0.625
Pa: 0.000 0.000 0.000
Pa: 0.000 0.000 0.500
Pa: 0.000 0.500 0.000
Pa: 0.000 0.500 0.500
Pa: 0.125 0.750 0.875
Pa: 0.125 0.875 0.250
Pa: 0.250 0.125 0.875
Pa: 0.250 0.625 0.375
Pa: 0.375 0.250 0.625
Pa: 0.375 0.625 0.750
Pa: 0.500 0.000 0.000
Pa: 0.500 0.000 0.500
Pa: 0.500 0.500 0.000
Pa: 0.500 0.500 0.500
Pa: 0.625 0.375 0.250
Pa: 0.625 0.750 0.375
Pa: 0.750 0.375 0.625
Pa: 0.750 0.875 0.125
Pa: 0.875 0.125 0.750
Pa: 0.875 0.250 0.125
S: 0.054 0.227 0.131
S: 0.054 0.327 0.924
S: 0.076 0.631 0.404
S: 0.076 0.946 0.673
S: 0.096 0.727 0.673
S: 0.096 0.869 0.424
S: 0.131 0.054 0.227
S: 0.131 0.576 0.904
S: 0.173 0.227 0.596
S: 0.173 0.446 0.576
S: 0.227 0.131 0.054
S: 0.227 0.596 0.173
S: 0.273 0.327 0.904
S: 0.273 0.446 0.369
S: 0.327 0.904 0.273
S: 0.327 0.924 0.054
S: 0.369 0.273 0.446
S: 0.369 0.596 0.924
S: 0.404 0.076 0.631
S: 0.404 0.827 0.773
S: 0.424 0.096 0.869
S: 0.424 0.827 0.554
S: 0.446 0.369 0.273
S: 0.446 0.576 0.173
S: 0.554 0.424 0.827
S: 0.554 0.631 0.727
S: 0.576 0.173 0.446
S: 0.576 0.904 0.131
S: 0.596 0.173 0.227
S: 0.596 0.924 0.369
S: 0.631 0.404 0.076
S: 0.631 0.727 0.554
S: 0.673 0.076 0.946
S: 0.673 0.096 0.727
S: 0.727 0.554 0.631
S: 0.727 0.673 0.096
S: 0.773 0.404 0.827
S: 0.773 0.869 0.946
S: 0.827 0.554 0.424
S: 0.827 0.773 0.404
S: 0.869 0.424 0.096
S: 0.869 0.946 0.773
S: 0.904 0.131 0.576
S: 0.904 0.273 0.327
S: 0.924 0.054 0.327
S: 0.924 0.369 0.596
S: 0.946 0.673 0.076
S: 0.946 0.773 0.869

Values from the calculation:
The total magnetic moment comes out at 8.64 μB per formula unit. Its space-group type is Ia-3d, No. 230. The volume comes out at 2066 Å³ per cell. The calculation puts the total energy at -0.25345 Ha/atom.



# 3
A plane-wave DFT calculation with GGA-PBE was carried out for HoPa4S5 after structural relaxation.

Unit cell a=6.742 b=6.742 c=6.742 alpha=99.58 beta=99.58 gamma=131.85
Atoms (fractional coordinates):
Ho: 0.000 0.000 0.000
Pa: 0.199 0.400 0.598
Pa: 0.400 0.801 0.201
Pa: 0.600 0.199 0.799
Pa: 0.801 0.600 0.402
S: 0.100 0.703 0.803
S: 0.297 0.100 0.397
S: 0.500 0.500 0.000
S: 0.703 0.900 0.603
S: 0.900 0.297 0.197

Values from the calculation:
The total magnetic moment comes out at 0.01 μB per formula unit. Its space-group type is I4/m, No. 87. The volume comes out at 208 Å³ per cell. The calculation puts the total energy at -0.29364 Ha/atom.



# 4
A plane-wave DFT calculation with GGA-PBE was carried out for Ho3PaS6 after structural relaxation.

Unit cell a=10.973 b=3.895 c=11.225 alpha=90.00 beta=107.93 gamma=90.00
Atoms (fractional coordinates):
Ho: 0.071 0.250 0.166
Ho: 0.179 0.750 0.502
Ho: 0.340 0.250 0.920
Ho: 0.660 0.750 0.080
Ho: 0.821 0.250 0.498
Ho: 0.929 0.750 0.834
Pa: 0.453 0.250 0.305
Pa: 0.547 0.750 0.695
S: 0.021 0.250 0.385
S: 0.102 0.250 0.934
S: 0.247 0.750 0.276
S: 0.310 0.750 0.749
S: 0.387 0.250 0.537
S: 0.418 0.750 0.100
S: 0.582 0.250 0.900
S: 0.613 0.750 0.463
S: 0.690 0.250 0.251
S: 0.753 0.250 0.724
S: 0.898 0.750 0.066
S: 0.979 0.750 0.615

Values from the calculation:
The total magnetic moment comes out at 1.38 μB per formula unit. Its space-group type is P2_1/m, No. 11. The volume comes out at 456 Å³ per cell. The calculation puts the total energy at -0.24800 Ha/atom.



# 5
A plane-wave DFT calculation with GGA-PBE was carried out for Ho2PaS after structural relaxation.

Unit cell a=10.228 b=10.228 c=10.228 alpha=19.47 beta=19.47 gamma=19.47
Atoms (fractional coordinates):
Ho: 0.108 0.108 0.108
Ho: 0.892 0.892 0.892
Pa: 0.000 0.000 0.000
S: 0.500 0.500 0.500

Values from the calculation:
The total magnetic moment comes out at 0.00 μB per formula unit. Its space-group type is R-3m, No. 166. The volume comes out at 104 Å³ per cell. The calculation puts the total energy at -0.22784 Ha/atom.



# 6
A plane-wave DFT calculation with GGA-PBE was carried out for HoPa2S5 after structural relaxation.

Unit cell a=11.872 b=7.786 c=7.337 alpha=90.00 beta=90.00 gamma=90.00
Atoms (fractional coordinates):
Ho: 0.004 0.250 0.077
Ho: 0.496 0.750 0.577
Ho: 0.504 0.250 0.423
Ho: 0.996 0.750 0.923
Pa: 0.180 0.000 0.515
Pa: 0.180 0.500 0.515
Pa: 0.320 0.000 0.015
Pa: 0.320 0.500 0.015
Pa: 0.680 0.000 0.985
Pa: 0.680 0.500 0.985
Pa: 0.820 0.000 0.485
Pa: 0.820 0.500 0.485
S: 0.001 0.250 0.466
S: 0.104 0.540 0.162
S: 0.104 0.960 0.162
S: 0.185 0.250 0.822
S: 0.213 0.750 0.796
S: 0.287 0.250 0.296
S: 0.315 0.750 0.322
S: 0.396 0.040 0.662
S: 0.396 0.460 0.662
S: 0.499 0.750 0.966
S: 0.501 0.250 0.034
S: 0.604 0.540 0.338
S: 0.604 0.960 0.338
S: 0.685 0.250 0.678
S: 0.713 0.750 0.704
S: 0.787 0.250 0.204
S: 0.815 0.750 0.178
S: 0.896 0.040 0.838
S: 0.896 0.460 0.838
S: 0.999 0.750 0.534

Values from the calculation:
The total magnetic moment comes out at 2.21 μB per formula unit. Its space-group type is Pnma, No. 62. The volume comes out at 678 Å³ per cell. The calculation puts the total energy at -0.26763 Ha/atom.



# 7
A plane-wave DFT calculation with GGA-PBE was carried out for HoPa2S4 after structural relaxation.

Unit cell a=6.635 b=6.635 c=13.416 alpha=90.00 beta=90.00 gamma=147.59
Atoms (fractional coordinates):
Ho: 0.116 0.884 0.750
Ho: 0.884 0.116 0.250
Pa: 0.357 0.643 0.564
Pa: 0.357 0.643 0.936
Pa: 0.643 0.357 0.064
Pa: 0.643 0.357 0.436
S: 0.000 0.000 0.000
S: 0.000 0.000 0.500
S: 0.286 0.714 0.131
S: 0.286 0.714 0.369
S: 0.455 0.545 0.750
S: 0.545 0.455 0.250
S: 0.714 0.286 0.631
S: 0.714 0.286 0.869

Values from the calculation:
The total magnetic moment comes out at 1.40 μB per formula unit. Its space-group type is Cmcm, No. 63. The volume comes out at 317 Å³ per cell. The calculation puts the total energy at -0.27114 Ha/atom.



# 8
A plane-wave DFT calculation with GGA-PBE was carried out for HoPa6S8 after structural relaxation.

Unit cell a=7.139 b=7.139 c=7.139 alpha=89.04 beta=89.04 gamma=89.04
Atoms (fractional coordinates):
Ho: 0.000 0.000 0.000
Pa: 0.192 0.416 0.555
Pa: 0.416 0.555 0.192
Pa: 0.445 0.808 0.584
Pa: 0.555 0.192 0.416
Pa: 0.584 0.445 0.808
Pa: 0.808 0.584 0.445
S: 0.133 0.772 0.349
S: 0.222 0.222 0.222
S: 0.228 0.651 0.867
S: 0.349 0.133 0.772
S: 0.651 0.867 0.228
S: 0.772 0.349 0.133
S: 0.778 0.778 0.778
S: 0.867 0.228 0.651

Values from the calculation:
The total magnetic moment comes out at 2.26 μB per formula unit. Its space-group type is R-3, No. 148. The volume comes out at 364 Å³ per cell. The calculation puts the total energy at -0.27116 Ha/atom.



# 9
A plane-wave DFT calculation with GGA-PBE was carried out for HoPaS4 after structural relaxation.

Unit cell a=6.876 b=4.064 c=6.887 alpha=90.00 beta=108.37 gamma=90.00
Atoms (fractional coordinates):
Ho: 0.000 0.000 0.000
Pa: 0.000 0.500 0.500
S: 0.209 0.500 0.243
S: 0.213 0.000 0.722
S: 0.787 0.000 0.278
S: 0.791 0.500 0.757

Values from the calculation:
The total magnetic moment comes out at 0.00 μB per formula unit. Its space-group type is P2/m, No. 10. The volume comes out at 183 Å³ per cell. The calculation puts the total energy at -0.25194 Ha/atom.



# 10
A plane-wave DFT calculation with GGA-PBE was carried out for Ho2PaS5 after structural relaxation.

Unit cell a=11.805 b=7.873 c=7.355 alpha=90.00 beta=90.00 gamma=90.00
Atoms (fractional coordinates):
Ho: 0.180 0.002 0.016
Ho: 0.180 0.498 0.016
Ho: 0.320 0.502 0.516
Ho: 0.320 0.998 0.516
Ho: 0.680 0.002 0.484
Ho: 0.680 0.498 0.484
Ho: 0.820 0.502 0.984
Ho: 0.820 0.998 0.984
Pa: 0.007 0.750 0.576
Pa: 0.493 0.250 0.076
Pa: 0.507 0.750 0.924
Pa: 0.993 0.250 0.424
S: 0.001 0.250 0.040
S: 0.103 0.044 0.662
S: 0.103 0.456 0.662
S: 0.184 0.750 0.323
S: 0.217 0.250 0.297
S: 0.283 0.750 0.797
S: 0.316 0.250 0.823
S: 0.397 0.544 0.162
S: 0.397 0.956 0.162
S: 0.499 0.750 0.540
S: 0.501 0.250 0.460
S: 0.603 0.044 0.838
S: 0.603 0.456 0.838
S: 0.684 0.750 0.177
S: 0.717 0.250 0.203
S: 0.783 0.750 0.703
S: 0.816 0.250 0.677
S: 0.897 0.544 0.338
S: 0.897 0.956 0.338
S: 0.999 0.750 0.960

Values from the calculation:
The total magnetic moment comes out at 0.86 μB per formula unit. Its space-group type is Pnma, No. 62. The volume comes out at 684 Å³ per cell. The calculation puts the total energy at -0.24912 Ha/atom.



# 11
A plane-wave DFT calculation with GGA-PBE was carried out for Ho5PaS6 after structural relaxation.

Unit cell a=6.732 b=6.732 c=6.730 alpha=99.64 beta=99.64 gamma=120.05
Atoms (fractional coordinates):
Ho: 0.000 0.000 0.000
Ho: 0.166 0.834 0.500
Ho: 0.330 0.670 0.000
Ho: 0.670 0.330 0.000
Ho: 0.834 0.166 0.500
Pa: 0.500 0.500 0.500
S: 0.083 0.417 0.250
S: 0.251 0.251 0.754
S: 0.417 0.083 0.250
S: 0.583 0.917 0.750
S: 0.749 0.749 0.246
S: 0.917 0.583 0.750

Values from the calculation:
The total magnetic moment comes out at 0.00 μB per formula unit. Its space-group type is C2/m, No. 12. The volume comes out at 249 Å³ per cell. The calculation puts the total energy at -0.24461 Ha/atom.



# 12
A plane-wave DFT calculation with GGA-PBE was carried out for HoPa5S6 after structural relaxation.

Unit cell a=6.755 b=6.755 c=6.863 alpha=99.60 beta=99.60 gamma=121.81
Atoms (fractional coordinates):
Ho: 0.000 0.000 0.000
Pa: 0.166 0.834 0.500
Pa: 0.332 0.668 0.000
Pa: 0.500 0.500 0.500
Pa: 0.668 0.332 0.000
Pa: 0.834 0.166 0.500
S: 0.083 0.413 0.248
S: 0.249 0.249 0.753
S: 0.413 0.083 0.248
S: 0.587 0.917 0.752
S: 0.751 0.751 0.247
S: 0.917 0.587 0.752

Values from the calculation:
The total magnetic moment comes out at 0.00 μB per formula unit. Its space-group type is C2/m, No. 12. The volume comes out at 250 Å³ per cell. The calculation puts the total energy at -0.29610 Ha/atom.